Entry 1:
Entry from the Alexandria database: crystalline PbS at its relaxed geometry (GGA-PBE).

* DOS at the Fermi energy: 0.02 states/eV/f.u.
* energy relative to the elements, uncorrected: -538 meV/atom
* mass density: 7357 kg/m³
* crystal system: trigonal

abc: 4.2433 4.2433 4.2433
angles: 59.98 59.98 59.98
Fractional positions:
S: 0.4766 0.4766 0.4766
Pb: 0.9790 0.9790 0.9790


Entry 2:
Entry from the Alexandria database: crystalline PbS at its relaxed geometry (GGA-PBE).

* energy relative to the elements, uncorrected: -439 meV/atom
* mass density: 6865 kg/m³
* crystal system: orthorhombic

abc: 3.9936 6.1845 14.8541
angles: 90.00 90.00 108.84
Fractional positions:
S: 0.6305 0.2610 0.4473
S: 0.6305 0.2610 0.0527
S: 0.7201 0.4402 0.7500
S: 0.2799 0.5598 0.2500
S: 0.3695 0.7390 0.5527
S: 0.3695 0.7390 0.9473
Pb: 0.1375 0.2750 0.5795
Pb: 0.8625 0.7250 0.4205
Pb: 0.1375 0.2750 0.9205
Pb: 0.8625 0.7250 0.0795
Pb: 0.3816 0.7631 0.7500
Pb: 0.6184 0.2369 0.2500


Entry 3:
Entry from the Alexandria database: crystalline PbS4 at its relaxed geometry (GGA-PBE).

* DOS at the Fermi energy: 0.25 states/eV/f.u.
* energy relative to the elements, uncorrected: -41 meV/atom
* mass density: 3988 kg/m³
* crystal system: triclinic
* offset from the most stable computed form: 0.0000 eV/atom

abc: 4.8067 4.9424 6.8993
angles: 101.09 87.37 119.56
Fractional positions:
S: 0.3041 0.5972 0.8223
S: 0.6959 0.4028 0.1777
S: 0.3190 0.5704 0.5221
S: 0.6810 0.4296 0.4779
Pb: 0.0000 0.0000 0.0000


Entry 4:
Entry from the Alexandria database: crystalline Pb4S at its relaxed geometry (GGA-PBE).

* DOS at the Fermi energy: 2.05 states/eV/f.u.
* energy relative to the elements, uncorrected: 77 meV/atom
* mass density: 8384 kg/m³
* crystal system: cubic

abc: 5.5452 5.5452 5.5452
angles: 90.00 90.00 90.00
Fractional positions:
S: 0.5000 0.5000 0.5000
Pb: 0.5000 0.5000 0.0000
Pb: 0.0000 0.0000 0.0000
Pb: 0.0000 0.5000 0.5000
Pb: 0.5000 0.0000 0.5000


Entry 5:
Entry from the Alexandria database: crystalline PbS at its relaxed geometry (GGA-PBE).

* energy relative to the elements, uncorrected: -345 meV/atom
* mass density: 6403 kg/m³
* crystal system: orthorhombic

abc: 8.0331 8.0331 4.0006
angles: 90.00 90.00 105.97
Fractional positions:
S: 0.0348 0.3923 0.5000
S: 0.3590 0.6410 0.0000
S: 0.6077 0.9652 0.5000
S: 0.5688 0.4312 0.5000
Pb: 0.7013 0.7545 0.0000
Pb: 0.2244 0.7756 0.5000
Pb: 0.7336 0.2664 0.0000
Pb: 0.2455 0.2987 0.0000


no.,uncorrected energy (eV/atom)
1,-4.4562
2,-4.3566
3,-4.0847
4,-3.7151
5,-4.2629